Record 1
# La2TbTmP4 (PBE, optimized geometry)
# Total moment in μB per atom: 0.00
# Density in g cm⁻³: 6.07
# DFT total energy in eV/atom: -6.6490
data_La2TbTmP4
_chemical_formula_sum 'La2 Tb1 Tm1 P4'
_space_group_name_H-M_alt 'P 1 2/m 1'
_space_group_IT_number 10
_space_group_name_Hall '-P 2y'
_cell_length_a 7.154
_cell_length_b 4.135
_cell_length_c 7.157
_cell_angle_alpha 90.00
_cell_angle_beta 109.47
_cell_angle_gamma 90.00
loop_
_atom_site_label
_atom_site_type_symbol
_atom_site_fract_x
_atom_site_fract_y
_atom_site_fract_z
La1 La 0.000 0.000 0.000
La2 La 0.000 0.500 0.500
Tb1 Tb 0.500 0.000 0.500
Tm1 Tm 0.500 0.500 0.000
P1 P 0.264 0.500 0.253
P2 P 0.266 0.000 0.757

Record 2
# La4Tb3UP8 (PBE, optimized geometry)
# Total moment in μB per atom: 0.13
# Density in g cm⁻³: 6.31
# DFT total energy in eV/atom: -7.0099
data_La4Tb3UP8
_chemical_formula_sum 'La12 Tb9 U3 P24'
_space_group_name_H-M_alt 'R -3 m'
_space_group_IT_number 166
_space_group_name_Hall '-R 3 2"'
_cell_length_a 8.2550
_cell_length_b 8.2550
_cell_length_c 20.3261
_cell_angle_alpha 90.00
_cell_angle_beta 90.00
_cell_angle_gamma 120.00
loop_
_atom_site_label
_atom_site_type_symbol
_atom_site_fract_x
_atom_site_fract_y
_atom_site_fract_z
La1 La 0.0000 0.0000 0.0000
La2 La 0.0000 0.5000 0.0000
Tb1 Tb 0.0000 0.5000 0.5000
U1 U 0.0000 0.0000 0.5000
P1 P 0.0000 0.0000 0.2459
P2 P 0.0067 0.5034 0.2438

Record 3
# La3TbY2P6 (PBE, optimized geometry)
# Total moment in μB per atom: 0.00
# Density in g cm⁻³: 5.15
# DFT total energy in eV/atom: -6.9882
data_La3TbY2P6
_chemical_formula_sum 'La6 Tb2 Y4 P12'
_space_group_name_H-M_alt 'C 1 2/m 1'
_space_group_IT_number 12
_space_group_name_Hall '-C 2y'
_cell_length_a 7.185
_cell_length_b 12.444
_cell_length_c 7.183
_cell_angle_alpha 90.00
_cell_angle_beta 109.47
_cell_angle_gamma 90.00
loop_
_atom_site_label
_atom_site_type_symbol
_atom_site_fract_x
_atom_site_fract_y
_atom_site_fract_z
La1 La 0.000 0.000 0.000
La2 La 0.000 0.333 0.000
Tb1 Tb 0.000 0.500 0.500
Y1 Y 0.000 0.167 0.500
P1 P 0.245 0.000 0.737
P2 P 0.246 0.333 0.737

Record 4
# La2TbYP4 (PBE, optimized geometry)
# Total moment in μB per atom: 0.00
# Density in g cm⁻³: 5.34
# DFT total energy in eV/atom: -6.9104
data_La2TbYP4
_chemical_formula_sum 'La2 Tb1 Y1 P4'
_space_group_name_H-M_alt 'P 1 2/m 1'
_space_group_IT_number 10
_space_group_name_Hall '-P 2y'
_cell_length_a 7.183
_cell_length_b 4.151
_cell_length_c 7.185
_cell_angle_alpha 90.00
_cell_angle_beta 109.46
_cell_angle_gamma 90.00
loop_
_atom_site_label
_atom_site_type_symbol
_atom_site_fract_x
_atom_site_fract_y
_atom_site_fract_z
La1 La 0.000 0.000 0.000
La2 La 0.000 0.500 0.500
Tb1 Tb 0.500 0.000 0.500
Y1 Y 0.500 0.500 0.000
P1 P 0.263 0.000 0.755
P2 P 0.263 0.500 0.254

Record 5
# La3Tb2YP6 (PBE, optimized geometry)
# Total moment in μB per atom: 0.00
# Density in g cm⁻³: 5.53
# DFT total energy in eV/atom: -6.8324
data_La3Tb2YP6
_chemical_formula_sum 'La6 Tb4 Y2 P12'
_space_group_name_H-M_alt 'C 1 2/m 1'
_space_group_IT_number 12
_space_group_name_Hall '-C 2y'
_cell_length_a 7.189
_cell_length_b 12.450
_cell_length_c 7.188
_cell_angle_alpha 90.00
_cell_angle_beta 109.46
_cell_angle_gamma 90.00
loop_
_atom_site_label
_atom_site_type_symbol
_atom_site_fract_x
_atom_site_fract_y
_atom_site_fract_z
La1 La 0.000 0.000 0.000
La2 La 0.000 0.333 0.000
Tb1 Tb 0.000 0.167 0.500
Y1 Y 0.000 0.500 0.500
P1 P 0.246 0.000 0.737
P2 P 0.246 0.333 0.737

Record 6
# La2TbZrP4 (PBE, optimized geometry)
# Total moment in μB per atom: 0.00
# Density in g cm⁻³: 5.70
# DFT total energy in eV/atom: -7.1014
data_La2TbZrP4
_chemical_formula_sum 'La2 Tb1 Zr1 P4'
_space_group_name_H-M_alt 'P 1 2/m 1'
_space_group_IT_number 10
_space_group_name_Hall '-P 2y'
_cell_length_a 7.018
_cell_length_b 4.048
_cell_length_c 7.074
_cell_angle_alpha 90.00
_cell_angle_beta 109.15
_cell_angle_gamma 90.00
loop_
_atom_site_label
_atom_site_type_symbol
_atom_site_fract_x
_atom_site_fract_y
_atom_site_fract_z
La1 La 0.000 0.000 0.000
La2 La 0.500 0.500 0.000
Tb1 Tb 0.000 0.500 0.500
Zr1 Zr 0.500 0.000 0.500
P1 P 0.253 0.000 0.730
P2 P 0.267 0.500 0.275